Compound: CePr3
Source: Alexandria via LeMat-Bulk
Functional: PBE
Structure: optimized geometry

Structure (POSCAR):
```
CePr3
1.0
3.660 0.000 0.000
0.000 6.408 0.000
-1.830 -3.204 5.997
Pr Ce
3 1
direct
0.500 0.503 0.000
0.252 0.583 0.504
0.748 0.079 0.496
0.000 0.001 0.000
```

Values from the calculation:
The value obtained for the polymorph energy (0 for the lowest one) is 16 meV/atom. The value obtained for the formation energy is 0.40 eV/f.u. Its symmetry is Imm2 (44).